## VBi2F (GGA+U)

Data for a relaxed VBi2F crystal.

Properties
Excess energy over the best structure of this formula in the dataset ... 162 meV per atom
Raw total energy ... -0.1570 hartree per atom
Calculated volume ... 25.6 Å³/atom

a = 4.4175 Å, b = 4.4175 Å, c = 10.9467 Å
α = 78.36°, β = 78.36°, γ = 90.00°
With the nearest neighbours (Å) after each atom.
Positions (direct):
V  0.0000  0.0000  0.0000  4 Bi 3.04, 4 F 3.12
V  0.7500  0.2500  0.5000  4 Bi 3.04, 4 F 3.12
Bi  0.6311  0.1250  0.2500  2 V 3.04, 2 F 3.06, 4 Bi 3.09-3.16
Bi  0.1189  0.6250  0.2500  2 V 3.04, 2 F 3.06, 4 Bi 3.09-3.16
Bi  0.3750  0.3689  0.7500  2 V 3.04, 2 F 3.06, 4 Bi 3.09-3.16
Bi  0.8750  0.8811  0.7500  2 V 3.04, 2 F 3.06, 4 Bi 3.09-3.16
F  0.5000  0.5000  0.0000  4 Bi 3.06, 4 V 3.12
F  0.2500  0.7500  0.5000  4 Bi 3.06, 4 V 3.12